1.
The following is a PBE calculation of an optimized crystal structure of Zn2Bi2P, from Alexandria via LeMat-Bulk.

The structure in POSCAR format:
```
Zn2Bi2P
1.0
6.484 0.000 0.000
0.000 6.484 0.000
0.000 0.000 5.486
Zn Bi P
4 4 2
Cartesian
0.906 2.336 0.000
2.336 5.578 0.000
4.148 0.906 0.000
5.578 4.148 0.000
1.346 4.588 2.743
1.896 1.346 2.743
4.588 5.138 2.743
5.138 1.896 2.743
0.000 0.000 0.000
3.242 3.242 0.000
```

Properties
ΔE_f in eV/atom: 0.25
E in hartree per atom: -0.106

=====

2.
The following is a PBE calculation of an optimized crystal structure of AcSm2ThN4, from Alexandria via LeMat-Bulk.

The structure in POSCAR format:
```
AcSm2ThN4
1.0
6.365 0.000 0.000
0.000 3.686 0.000
-2.125 0.000 6.047
Ac Sm Th N
1 2 1 4
Cartesian
0.000 0.000 0.000
2.120 0.000 3.023
3.183 1.843 0.000
-1.062 1.843 3.023
0.021 0.000 4.452
1.056 1.843 1.631
3.184 1.843 4.415
4.219 0.000 1.594
```

Properties
Formation energy from raw total energies in eV/atom: -1.3933
E in hartree per atom: -0.300

=====

3.
The following is a PBE calculation of an optimized crystal structure of Sr4InF2, from Alexandria via LeMat-Bulk.

The structure in POSCAR format:
```
Sr4InF2
1.0
6.314 0.000 0.000
0.000 6.314 0.000
0.000 0.000 13.830
Sr In F
8 2 4
Cartesian
0.000 0.000 3.400
0.000 0.000 10.430
0.000 3.157 0.000
0.000 3.157 6.915
3.157 0.000 0.000
3.157 0.000 6.915
3.157 3.157 3.515
3.157 3.157 10.315
0.000 0.000 0.000
3.157 3.157 6.915
0.000 0.000 5.613
0.000 0.000 8.217
3.157 3.157 1.302
3.157 3.157 12.528
```

Properties
Formation energy from raw total energies in eV/atom: -1.4019
E in hartree per atom: -0.121

=====

4.
The following is a PBE calculation of an optimized crystal structure of NaLiPaCl6, from Alexandria via LeMat-Bulk.

The structure in POSCAR format:
```
NaLiPaCl6
1.0
6.736 0.000 0.000
-3.368 5.833 0.000
0.000 0.000 12.709
Na Li Pa Cl
2 2 2 12
Cartesian
0.000 0.000 0.000
0.000 0.000 6.354
0.000 3.889 3.177
3.368 1.944 9.532
0.000 3.889 9.532
3.368 1.944 3.177
-1.165 2.066 1.693
-2.161 3.792 4.662
1.165 2.066 4.662
-0.996 5.809 1.693
2.371 0.024 8.047
1.207 2.042 11.016
2.161 3.792 1.693
0.996 5.809 4.662
4.364 0.024 11.016
2.203 3.767 8.047
5.529 2.042 8.047
4.532 3.767 11.016
```

Properties
Formation energy from raw total energies in eV/atom: -1.8671
E in hartree per atom: -0.166

=====

5.
The following is a PBE calculation of an optimized crystal structure of NpMnTcRu, from Alexandria via LeMat-Bulk.

The structure in POSCAR format:
```
NpMnTcRu
1.0
6.413 0.000 0.000
0.000 6.413 0.000
0.000 0.000 6.413
Np Mn Tc Ru
4 4 4 4
Cartesian
0.000 0.000 0.000
0.000 3.206 3.206
3.206 0.000 3.206
3.206 3.206 0.000
0.000 0.000 3.206
0.000 3.206 0.000
3.206 0.000 0.000
3.206 3.206 3.206
1.603 1.603 1.603
1.603 4.810 4.810
4.810 1.603 4.810
4.810 4.810 1.603
1.603 1.603 4.810
1.603 4.810 1.603
4.810 1.603 1.603
4.810 4.810 4.810
```

Properties
ΔE_f in eV/atom: 0.11
E in hartree per atom: -0.379

=====

6.
The following is a PBE calculation of an optimized crystal structure of HoZr2P, from Alexandria via LeMat-Bulk.

The structure in POSCAR format:
```
HoZr2P
1.0
3.632 0.000 0.000
-1.816 3.145 0.000
0.000 0.000 24.978
Ho Zr P
3 6 3
Cartesian
0.000 0.000 0.000
0.000 2.097 16.652
1.816 1.048 8.326
0.000 0.000 13.959
0.000 0.000 19.320
0.000 2.097 5.633
0.000 2.097 10.994
1.816 1.048 2.668
1.816 1.048 22.285
0.000 0.000 4.163
0.000 2.097 20.815
1.816 1.048 12.489
```

Properties
ΔE_f in eV/atom: -0.63
E in hartree per atom: -0.272

=====

7.
The following is a PBE calculation of an optimized crystal structure of AsAuSBr2, from Alexandria via LeMat-Bulk.

The structure in POSCAR format:
```
AsAuSBr2
1.0
4.824 0.000 0.000
0.000 4.824 0.000
0.000 0.000 5.456
As Au S Br
1 1 1 2
Cartesian
0.000 0.000 0.000
2.412 2.412 0.000
0.000 0.000 2.728
0.000 2.412 2.728
2.412 0.000 2.728
```

Properties
Formation energy from raw total energies in eV/atom: 0.7513
ΔE to the lowest computed polymorph in eV per atom: 0.000
E in hartree per atom: -0.086

=====

8.
The following is a PBE calculation of an optimized crystal structure of Fe2PbBr, from Alexandria via LeMat-Bulk.

The structure in POSCAR format:
```
Fe2PbBr
1.0
3.287 0.000 0.000
0.000 3.287 0.000
0.000 0.000 7.885
Fe Pb Br
2 1 1
Cartesian
0.000 0.000 0.000
1.644 1.644 1.010
0.000 0.000 2.940
1.644 1.644 6.319
```

Properties
Formation energy from raw total energies in eV/atom: 0.2067
ΔE to the lowest computed polymorph in eV per atom: 0.012
E in hartree per atom: -0.197

=====

9.
The following is a PBE calculation of an optimized crystal structure of Ba3Ac3DyO8, from Alexandria via LeMat-Bulk.

The structure in POSCAR format:
```
Ba3Ac3DyO8
1.0
3.773 2.179 6.377
-3.773 2.179 6.377
0.000 -4.357 6.377
Ba Ac Dy O
3 3 1 8
Cartesian
-1.887 -1.089 6.377
-1.887 1.089 12.754
0.000 2.178 6.377
-3.773 0.000 9.565
-1.887 1.089 3.188
1.887 1.089 3.188
0.000 0.000 9.565
0.000 0.000 4.558
-1.726 -0.997 10.792
0.000 -1.994 8.339
-1.726 0.997 8.339
1.726 -0.997 10.792
0.000 1.994 10.792
1.726 0.997 8.339
0.000 0.000 14.572
```

Properties
Formation energy from raw total energies in eV/atom: -2.8023
E in hartree per atom: -0.256

=====

10.
The following is a PBE calculation of an optimized crystal structure of Sc6P5, from Alexandria via LeMat-Bulk.

The structure in POSCAR format:
```
Sc6P5
1.0
3.232 -5.589 0.000
3.232 5.589 0.000
-2.149 0.000 6.100
Sc P
6 5
Cartesian
-0.030 1.915 4.554
1.017 0.000 1.560
-0.030 -1.915 4.554
4.345 1.915 1.547
3.299 0.000 4.540
4.345 -1.915 1.547
-1.075 0.000 3.050
3.232 3.724 0.000
2.158 1.840 3.050
2.158 -1.840 3.050
3.232 -3.724 0.000
```

Properties
ΔE_f in eV/atom: -1.37
E in hartree per atom: -0.268

=====

11.
The following is a PBE calculation of an optimized crystal structure of Ac3Sm2In4, from Alexandria via LeMat-Bulk.

The structure in POSCAR format:
```
Ac3Sm2In4
1.0
6.099 -2.488 0.000
6.099 2.488 0.000
-0.115 0.000 10.407
Ac Sm In
3 2 4
Cartesian
0.000 0.000 0.000
4.536 0.000 6.308
7.548 0.000 4.100
3.821 0.000 2.372
8.263 0.000 8.036
0.865 0.000 6.541
3.594 0.000 9.617
8.490 0.000 0.790
11.219 0.000 3.866
```

Properties
ΔE_f in eV/atom: -0.33
E in hartree per atom: -0.146

=====

12.
The following is a PBE calculation of an optimized crystal structure of Dy4HfIr5, from Alexandria via LeMat-Bulk.

The structure in POSCAR format:
```
Dy4HfIr5
1.0
3.336 0.000 0.000
0.000 3.336 0.000
0.000 0.000 17.634
Dy Hf Ir
4 1 5
Cartesian
0.000 0.000 1.795
0.000 0.000 5.378
0.000 0.000 12.256
0.000 0.000 15.840
0.000 0.000 8.817
1.668 1.668 0.000
1.668 1.668 3.617
1.668 1.668 7.288
1.668 1.668 10.347
1.668 1.668 14.017
```

Properties
ΔE_f in eV/atom: -0.84
E in hartree per atom: -0.298